No. 1
Entry from the Alexandria database: a relaxed Ca2Pm4Y crystal (GGA-PBE).

```
7
Lattice="-2.8667 2.8667 8.9749 2.8667 -2.8667 8.9749 2.8667 2.8667 -8.9749" Properties=species:S:1:pos:R:3 pbc="T T T"
Ca 0.0000 0.0000 2.2752
Ca 0.0000 0.0000 15.6745
Pm 2.8667 0.0000 0.0000
Pm 0.0000 0.0000 5.8675
Pm 0.0000 2.8667 0.0000
Pm 0.0000 0.0000 12.0822
Y 0.0000 0.0000 8.9749
```

ΔE to the lowest computed polymorph, eV/atom: 0.486
Calculated density, kg/m3: 4216
Energy of formation from the pure elements, eV per atom: 0.613
SG: I4/mmm (139)
VASP energy, eV per cell: -25.18
Calculated volume, Å³/atom: 42.15

=====

No. 2
Entry from the Alexandria database: a relaxed CaPm6Y5 crystal (GGA-PBE).

```
12
Lattice="5.9905 -5.4660 0.0000 5.9905 5.4660 0.0000 -1.1127 0.0000 6.1961" Properties=species:S:1:pos:R:3 pbc="T T T"
Ca 0.0000 0.0000 0.0000
Pm 2.7547 1.8601 1.5621
Pm 2.1955 0.0000 4.5908
Pm 2.7547 -1.8601 1.5621
Pm 8.1136 1.8601 4.6340
Pm 8.6727 0.0000 1.6053
Pm 8.1136 -1.8601 4.6340
Y 5.4341 3.5995 3.0981
Y 5.9905 1.7717 0.0000
Y 5.4341 0.0000 3.0981
Y 5.9905 -1.7717 0.0000
Y 5.4341 -3.5995 3.0981
```

Calculated density, kg/m3: 5544
Energy of formation from the pure elements, eV per atom: 0.031
SG: C2/m (12)
VASP energy, eV per cell: -62.45
Calculated volume, Å³/atom: 33.81